Here is an optimized crystal structure of TcTe2Se from Alexandria via LeMat-Bulk. Energies are from PBE-GGA.

Unit cell a=5.6000 b=5.6000 c=5.9827 alpha=90.00 beta=90.00 gamma=90.00
With the nearest neighbours (Å) after each atom.
Space group I4/mmm (No. 139)
One atom of each set of equivalent atoms:
Tc 0.0000 0.0000 0.0000 (multiplicity 2)  4 Te 2.80, 2 Se 2.99
Te 0.0000 0.5000 0.0000 (multiplicity 4)  2 Se 2.80, 2 Tc 2.80, 2 Te 2.99
Se 0.0000 0.0000 0.5000 (multiplicity 2)  4 Te 2.80, 2 Tc 2.99

DFT total energy = -36.4 eV/cell
Volume = 93.8 Å³/f.u.
E_form (uncorrected) = 186 kJ/mol of formula units